(1)
This record from Alexandria describes a geometry-optimized LuNi2Pd structure. The functional is GGA-PBE.

a = 6.2236 Å, b = 6.2236 Å, c = 6.2236 Å
α = 90.00°, β = 90.00°, γ = 90.00°
Space group Fm-3m (No. 225)
Symmetry-distinct sites (fractional):
Lu: 0.0000 0.0000 0.0000 (multiplicity 4)
Ni: 0.2500 0.2500 0.2500 (multiplicity 8)
Pd: 0.0000 0.0000 0.5000 (multiplicity 4)

Summary:
DFT formation energy ... -151 kJ/mol of formula units
E above lowest polymorph ... 126.7 meV/atom
M_tot ... 0.00 Bohr magnetons per cell
ρ ... 10.99 g cm⁻³

=====

(2)
This record from Alexandria describes a geometry-optimized TbLuIr2 structure. The functional is GGA-PBE.

a = 3.3084 Å, b = 3.3084 Å, c = 7.1534 Å
α = 90.00°, β = 90.00°, γ = 90.00°
Space group P4/mmm (No. 123)
Symmetry-distinct sites (fractional):
Tb: 0.0000 0.0000 0.0000 (multiplicity 1)
Lu: 0.0000 0.0000 0.5000 (multiplicity 1)
Ir: 0.5000 0.5000 0.2587 (multiplicity 2)

Summary:
DFT formation energy ... -335 kJ/mol of formula units
E above lowest polymorph ... 0.0 meV/atom
M_tot ... 0.00 Bohr magnetons per cell
ρ ... 15.23 g cm⁻³

=====

(3)
This record from Alexandria describes a geometry-optimized Li2AlRhCl structure. The functional is GGA-PBE.

a = 5.0203 Å, b = 5.0203 Å, c = 4.7389 Å
α = 90.00°, β = 90.00°, γ = 90.00°
Space group P4/mmm (No. 123)
Symmetry-distinct sites (fractional):
Li: 0.0000 0.5000 0.0000 (multiplicity 2)
Al: 0.0000 0.0000 0.0000 (multiplicity 1)
Rh: 0.5000 0.5000 0.5000 (multiplicity 1)
Cl: 0.0000 0.0000 0.5000 (multiplicity 1)

Summary:
Formation energy from raw total energies ... 3.6 eV per formula unit
M_tot ... 1.03 Bohr magnetons per cell
ρ ... 2.49 g cm⁻³

=====

(4)
This record from Alexandria describes a geometry-optimized Mg5Ag structure. The functional is GGA-PBE.

a = 11.3756 Å, b = 3.1568 Å, c = 7.3444 Å
α = 90.00°, β = 104.43°, γ = 90.00°
Space group Cm (No. 8)
Symmetry-distinct sites (fractional):
Mg: 0.0000 0.0000 0.0000 (multiplicity 2)
Mg: 0.0360 0.0000 0.6119 (multiplicity 2)
Mg: 0.1701 0.5000 0.3593 (multiplicity 2)
Mg: 0.2239 0.5000 0.9253 (multiplicity 2)
Mg: 0.3821 0.0000 0.2750 (multiplicity 2)
Ag: 0.3279 0.0000 0.6659 (multiplicity 2)

Summary:
DFT formation energy ... -43 kJ/mol of formula units
M_tot ... 0.00 Bohr magnetons per cell
ρ ... 2.98 g cm⁻³